Below is a geometry-optimized YTaCr structure, with properties calculated at the PBE level.

## Properties
Its formation enthalpy at 0 K is 0.530 eV per atom. The value obtained for the total moment is 1.71 μB/f.u. The value obtained for the energy above the lowest structure with this stoichiometry is 0.65 eV per formula unit. The electronic total energy comes out at -8.78 eV/atom. The calculation puts the volume at 61 Å³/f.u. The calculation puts the density of states at the Fermi level at 2.191 states/eV/f.u. The calculated density is 8.8 g cm⁻³.

abc: 4.671 4.671 3.229
angles: 90.00 90.00 120.00
Each line ends with the local moment (μB).
Positions (direct):
Y (0.333, 0.667, 0.680)  -0.10
Ta (0.667, 0.333, 0.226)  -0.50
Cr (0.000, 0.000, 0.093)  2.36



Below is a geometry-optimized Y2TaCr structure, with properties calculated at the PBE level.

## Properties
Its formation enthalpy at 0 K is 0.569 eV per atom. The value obtained for the total moment is 0.67 μB/f.u. The value obtained for the energy above the lowest structure with this stoichiometry is 1.26 eV per formula unit. The electronic total energy comes out at -8.03 eV/atom. The calculation puts the volume at 91 Å³/f.u. The calculation puts the density of states at the Fermi level at 3.675 states/eV/f.u. The calculated density is 7.5 g cm⁻³.

abc: 5.039 5.039 5.039
angles: 119.88 119.88 90.21
Each line ends with the local moment (μB).
Positions (direct):
Ta (0.750, 0.250, 0.500)  -1.21
Y (0.250, 0.750, 0.500)  -0.08
Y (0.000, 0.000, 0.000)  -0.50
Cr (0.500, 0.500, 0.000)  2.96